1.
{
  "formula": "LiLuInPt",
  "functional": "GGA-PBE",
  "state": "optimized geometry",
  "spacegroup": "F-43m (216)",
  "dos_ef_per_ev_atom": 1.0056,
  "formation_energy_ev_per_atom": -0.7914,
  "magnetic_moment_mub_per_fu": 0.00,
  "crystal_system": "cubic",
  "lattice_angstrom": [[4.7349, 0.0000, 0.0000], [2.3674, 4.1005, 0.0000], [2.3674, 1.3668, 3.8660]],
  "species": ["Pt", "In", "Li", "Lu"],
  "frac_coords": [[0.7500, 0.7500, 0.7500], [0.0000, 0.0000, 0.0000], [0.2500, 0.2500, 0.2500], [0.5000, 0.5000, 0.5000]]
}

2.
{
  "formula": "LiLuInRh",
  "functional": "GGA-PBE",
  "state": "optimized geometry",
  "spacegroup": "F-43m (216)",
  "dos_ef_per_ev_atom": 0.8314,
  "formation_energy_ev_per_atom": -0.5778,
  "magnetic_moment_mub_per_fu": 0.00,
  "crystal_system": "cubic",
  "lattice_angstrom": [[4.7048, 0.0000, 0.0000], [2.3524, 4.0744, 0.0000], [2.3524, 1.3581, 3.8414]],
  "species": ["Rh", "In", "Li", "Lu"],
  "frac_coords": [[0.0000, 0.0000, 0.0000], [0.7500, 0.7500, 0.7500], [0.5000, 0.5000, 0.5000], [0.2500, 0.2500, 0.2500]]
}

3.
{
  "formula": "LiLuScIn",
  "functional": "GGA-PBE",
  "state": "optimized geometry",
  "spacegroup": "F-43m (216)",
  "dos_ef_per_ev_atom": 0.8512,
  "formation_energy_ev_per_atom": -0.2362,
  "magnetic_moment_mub_per_fu": 0.00,
  "crystal_system": "cubic",
  "lattice_angstrom": [[-2.9574, 3.3512, -2.3864], [-4.9895, -0.8139, -0.3385], [-3.2215, 2.8751, 2.6510]],
  "species": ["Sc", "In", "Lu", "Li"],
  "frac_coords": [[0.2500, 0.2500, 0.2500], [0.5000, 0.5000, 0.5000], [0.7500, 0.7500, 0.7500], [0.0000, 0.0000, 0.0000]]
}

no.,uncorrected energy (eV for the cell shown)
1,-18.38
2,-18.84
3,-16.45